1.
# La6OsRh2 (PBE, relaxed)
data_La6OsRh2
_symmetry_space_group_name_H-M 'P 1 21/c 1'
_symmetry_Int_Tables_number 14
_cell_length_a 6.994
_cell_length_b 7.496
_cell_length_c 12.305
_cell_angle_alpha 90.00
_cell_angle_beta 120.69
_cell_angle_gamma 90.00
loop_
_symmetry_equiv_pos_as_xyz
'x,y,z'
'-x,-y,-z'
'-x,y+1/2,-z+1/2'
'x,-y+1/2,z+1/2'
loop_
_atom_site_label
_atom_site_type_symbol
_atom_site_fract_x
_atom_site_fract_y
_atom_site_fract_z
_atom_site_occupancy
La1 La 0.076 0.067 0.245 1
La2 La 0.261 0.685 0.084 1
La3 La 0.394 0.180 0.066 1
Os1 Os 0.000 0.000 0.000 1
Rh1 Rh 0.323 0.108 0.780 1
# volume: 554.8 Å³/cell
# energy of formation: -421 meV/atom
# crystal system: monoclinic
# calculated density: 7.4 g/cm3
# magnetic moment: 0.000 μB per formula unit
# electronic total energy: -6.587 eV per atom

2.
# NdTa6S8 (PBE, relaxed)
data_NdTa6S8
_symmetry_space_group_name_H-M 'R -3'
_symmetry_Int_Tables_number 148
_symmetry_space_group_name_Hall '-R 3'
_cell_length_a 9.1684
_cell_length_b 9.1684
_cell_length_c 11.9750
_cell_angle_alpha 90.00
_cell_angle_beta 90.00
_cell_angle_gamma 120.00
loop_
_atom_site_label
_atom_site_type_symbol
_atom_site_fract_x
_atom_site_fract_y
_atom_site_fract_z
_atom_site_occupancy
Nd1 Nd 0.0000 0.0000 0.0000 1
Ta1 Ta 0.0188 0.8321 0.3898 1
S1 S 0.0000 0.0000 0.2339 1
S2 S 0.0038 0.6329 0.2401 1
# volume: 871.7 Å³/cell
# formation energy without anion corrections: -958 meV/atom
# crystal system: trigonal
# calculated density: 8.5 g/cm3
# magnetic moment: 0.000 μB per formula unit
# electronic total energy: -8.218 eV per atom

3.
# PmAlZn2Au (PBE, relaxed)
data_PmAlZn2Au
_symmetry_space_group_name_H-M 'I m m 2'
_symmetry_Int_Tables_number 44
_cell_length_a 4.102
_cell_length_b 4.255
_cell_length_c 11.381
_cell_angle_alpha 90.00
_cell_angle_beta 90.00
_cell_angle_gamma 90.00
loop_
_symmetry_equiv_pos_as_xyz
'x,y,z'
'-x,-y,z'
'-x,y,z'
'x,-y,z'
'x+1/2,y+1/2,z+1/2'
'-x+1/2,-y+1/2,z+1/2'
'-x+1/2,y+1/2,z+1/2'
'x+1/2,-y+1/2,z+1/2'
loop_
_atom_site_label
_atom_site_type_symbol
_atom_site_fract_x
_atom_site_fract_y
_atom_site_fract_z
_atom_site_occupancy
Pm1 Pm 0.000 0.000 0.000 1
Al1 Al 0.000 0.500 0.745 1
Zn1 Zn 0.000 0.000 0.611 1
Zn2 Zn 0.000 0.500 0.244 1
Au1 Au 0.000 0.000 0.385 1
# volume: 198.7 Å³/cell
# energy of formation: -503 meV/atom
# crystal system: orthorhombic
# calculated density: 8.4 g/cm3
# magnetic moment: 0.000 μB per formula unit
# electronic total energy: -3.367 eV per atom